La8Pd3RuBr4 | GGA-PBE | optimized geometry

a b c (Å): 8.496 9.322 8.498
angles (deg): 117.15 119.99 90.00
Sites, in units of the cell vectors:
Pd 0.500 0.500 0.500
La 0.227 0.700 0.973
Br 0.000 0.000 0.000
Pd 0.000 0.500 0.500
La 0.254 0.300 0.027
La 0.227 0.700 0.454
Pd 0.500 0.500 0.000
Br 0.500 0.000 0.000
Br 0.500 0.000 0.500
La 0.746 0.700 0.973
La 0.267 0.300 0.533
Ru 0.000 0.500 0.000
La 0.773 0.300 0.027
La 0.773 0.300 0.546
Br 0.000 0.000 0.500
La 0.733 0.700 0.467

- SG: No. 166
- Formation energy (no corrections): -1.07 eV/atom
- Fermi-level density of states: 10.34 states/eV/cell